## Gd2YBe (PBE-GGA)

Data for crystalline Gd2YBe at its relaxed geometry.

CIF file:
```
data_Gd2YBe
_chemical_formula_sum 'Gd2 Y1 Be1'
_symmetry_space_group_name_H-M 'P 4/m m m'
_symmetry_Int_Tables_number 123
_symmetry_space_group_name_Hall '-P 4 2'
_cell_length_a 3.508
_cell_length_b 3.508
_cell_length_c 8.604
_cell_angle_alpha 90.00
_cell_angle_beta 90.00
_cell_angle_gamma 90.00
loop_
_atom_site_label
_atom_site_fract_x
_atom_site_fract_y
_atom_site_fract_z
Gd1 0.000 0.000 0.192
Y1 0.500 0.500 0.500
Be1 0.500 0.500 0.000
```

Properties
The total moment is 14.3 μB per formula unit. The uncorrected energy is -9.504 eV per atom. As for the polymorph energy (0 for the lowest one): 0.00 eV/f.u.


## GdYBeZn (PBE-GGA)

Data for crystalline GdYBeZn at its relaxed geometry.

CIF file:
```
data_GdYBeZn
_chemical_formula_sum 'Gd4 Y4 Be4 Zn4'
_symmetry_space_group_name_H-M 'F -4 3 m'
_symmetry_Int_Tables_number 216
_symmetry_space_group_name_Hall 'F -4 2 3'
_cell_length_a 7.038
_cell_length_b 7.038
_cell_length_c 7.038
_cell_angle_alpha 90.00
_cell_angle_beta 90.00
_cell_angle_gamma 90.00
loop_
_atom_site_label
_atom_site_fract_x
_atom_site_fract_y
_atom_site_fract_z
Gd1 0.000 0.000 0.000
Y1 0.000 0.000 0.500
Be1 0.250 0.250 0.250
Zn1 0.250 0.250 0.750
```

Properties
The total moment is 7.7 μB per formula unit. The uncorrected energy is -6.496 eV per atom.


## GdBeZn (PBE-GGA)

Data for crystalline GdBeZn at its relaxed geometry.

CIF file:
```
data_GdBeZn
_chemical_formula_sum 'Gd1 Be1 Zn1'
_symmetry_space_group_name_H-M 'P -6 m 2'
_symmetry_Int_Tables_number 187
_symmetry_space_group_name_Hall 'P -6 2'
_cell_length_a 4.2451
_cell_length_b 4.2451
_cell_length_c 3.6410
_cell_angle_alpha 90.00
_cell_angle_beta 90.00
_cell_angle_gamma 120.00
loop_
_atom_site_label
_atom_site_fract_x
_atom_site_fract_y
_atom_site_fract_z
Gd1 0.0000 0.0000 0.0000
Be1 0.6667 0.3333 0.5000
Zn1 0.3333 0.6667 0.5000
```

Properties
The total moment is 7.7 μB per formula unit. The uncorrected energy is -6.491 eV per atom.


## GdBeZn3 (PBE-GGA)

Data for crystalline GdBeZn3 at its relaxed geometry.

CIF file:
```
data_GdBeZn3
_chemical_formula_sum 'Gd1 Be1 Zn3'
_symmetry_space_group_name_H-M 'P m -3 m'
_symmetry_Int_Tables_number 221
_symmetry_space_group_name_Hall '-P 4 2 3'
_cell_length_a 4.416
_cell_length_b 4.416
_cell_length_c 4.416
_cell_angle_alpha 90.00
_cell_angle_beta 90.00
_cell_angle_gamma 90.00
loop_
_atom_site_label
_atom_site_fract_x
_atom_site_fract_y
_atom_site_fract_z
Gd1 0.000 0.000 0.000
Be1 0.500 0.500 0.500
Zn1 0.000 0.500 0.500
```

Properties
The total moment is 7.1 μB per formula unit. The uncorrected energy is -4.401 eV per atom.


## GdBeZn2 (PBE-GGA)

Data for crystalline GdBeZn2 at its relaxed geometry.

CIF file:
```
data_GdBeZn2
_chemical_formula_sum 'Gd4 Be4 Zn8'
_symmetry_space_group_name_H-M 'F m -3 m'
_symmetry_Int_Tables_number 225
_symmetry_space_group_name_Hall '-F 4 2 3'
_cell_length_a 6.510
_cell_length_b 6.510
_cell_length_c 6.510
_cell_angle_alpha 90.00
_cell_angle_beta 90.00
_cell_angle_gamma 90.00
loop_
_atom_site_label
_atom_site_fract_x
_atom_site_fract_y
_atom_site_fract_z
Gd1 0.000 0.000 0.000
Be1 0.000 0.000 0.500
Zn1 0.250 0.250 0.250
```

Properties
The total moment is 7.0 μB per formula unit. The uncorrected energy is -5.143 eV per atom.


## GdZrBeZn (PBE-GGA)

Data for crystalline GdZrBeZn at its relaxed geometry.

CIF file:
```
data_GdZrBeZn
_chemical_formula_sum 'Gd4 Zr4 Be4 Zn4'
_symmetry_space_group_name_H-M 'F -4 3 m'
_symmetry_Int_Tables_number 216
_symmetry_space_group_name_Hall 'F -4 2 3'
_cell_length_a 6.780
_cell_length_b 6.780
_cell_length_c 6.780
_cell_angle_alpha 90.00
_cell_angle_beta 90.00
_cell_angle_gamma 90.00
loop_
_atom_site_label
_atom_site_fract_x
_atom_site_fract_y
_atom_site_fract_z
Gd1 0.000 0.000 0.000
Zr1 0.000 0.000 0.500
Be1 0.250 0.250 0.750
Zn1 0.250 0.250 0.250
```

Properties
The total moment is 7.8 μB per formula unit. The uncorrected energy is -6.941 eV per atom.